Record 1
Density functional theory data (PBE) for a geometry-optimized VCrSiAu structure.

- Fermi-level density of states (states/eV/cell) = 2.489
- E_form (uncorrected) (kJ per mole of atoms) = -4.07
- volume (Å³/cell) = 58.1

Cell: 3.000 3.034 6.556 Å, 90.00 103.35 90.00°
Space group Pm (No. 6)
Symmetry-distinct sites (fractional):
V: 0.000 0.000 0.000 (multiplicity 1)
Cr: 0.397 0.500 0.798 (multiplicity 1)
Si: 0.797 0.000 0.601 (multiplicity 1)
Au: 0.643 0.500 0.284 (multiplicity 1)

---

Record 2
Density functional theory data (PBE) for a geometry-optimized Tb3Pm4Dy2 structure.

- Fermi-level density of states (states/eV/cell) = 21.549
- energy of formation (meV/atom) = 13.7
- volume (Å³/cell) = 590.6

Cell: 11.895 3.601 14.819 Å, 90.00 111.52 90.00°
Space group C2/m (No. 12)
Symmetry-distinct sites (fractional):
Tb: 0.000 0.000 0.000 (multiplicity 2)
Tb: 0.112 0.000 0.444 (multiplicity 4)
Pm: 0.166 0.500 0.666 (multiplicity 4)
Pm: 0.222 0.000 0.889 (multiplicity 4)
Dy: 0.056 0.500 0.223 (multiplicity 4)

---

Record 3
Density functional theory data (PBE) for a geometry-optimized TbTmAlTl structure.

- Fermi-level density of states (states/eV/cell) = 1.686
- energy of formation (meV/atom) = -350.3
- volume (Å³/cell) = 100.8

Cell: 3.606 3.606 7.751 Å, 90.00 90.00 90.00°
Space group P4mm (No. 99)
Symmetry-distinct sites (fractional):
Tb: 0.000 0.000 0.000 (multiplicity 1)
Tm: 0.000 0.000 0.531 (multiplicity 1)
Al: 0.500 0.500 0.761 (multiplicity 1)
Tl: 0.500 0.500 0.272 (multiplicity 1)

---

Record 4
Density functional theory data (PBE) for a geometry-optimized CuOsS2 structure.

- Fermi-level density of states (states/eV/cell) = 13.832
- E_form (uncorrected) (kJ per mole of atoms) = 1.61
- volume (Å³/cell) = 224.5

Cell: 3.5921 3.5921 20.0909 Å, 90.00 90.00 120.00°
Space group R-3m (No. 166, hexagonal axes)
Symmetry-distinct sites (fractional):
Cu: 0.0000 0.0000 0.0000 (multiplicity 3)
Os: 0.0000 0.0000 0.5000 (multiplicity 3)
S: 0.0000 0.0000 0.1077 (multiplicity 6)

---

Record 5
Density functional theory data (PBE) for a geometry-optimized Ta5Mo3 structure.

- Fermi-level density of states (states/eV/cell) = 15.631
- energy of formation (meV/atom) = 181.2
- volume (Å³/cell) = 285.8

Cell: 7.7388 7.7388 5.5095 Å, 90.00 90.00 120.00°
Space group P6_3/mcm (No. 193)
Symmetry-distinct sites (fractional):
Ta: 0.0000 0.2244 0.2500 (multiplicity 6)
Ta: 0.3333 0.6667 0.0000 (multiplicity 4)
Mo: 0.0000 0.3984 0.7500 (multiplicity 6)

---

Record 6
Density functional theory data (PBE) for a geometry-optimized CdTcW2Au structure.

- Fermi-level density of states (states/eV/cell) = 5.872
- energy of formation (meV/atom) = 1700.5
- volume (Å³/cell) = 112.3

Cell: 4.684 4.684 5.117 Å, 90.00 90.00 90.00°
Space group P4/mmm (No. 123)
Symmetry-distinct sites (fractional):
Cd: 0.000 0.000 0.000 (multiplicity 1)
Tc: 0.000 0.000 0.500 (multiplicity 1)
W: 0.000 0.500 0.500 (multiplicity 2)
Au: 0.500 0.500 0.000 (multiplicity 1)

---

Record 7
Density functional theory data (PBE) for a geometry-optimized LaDyTc structure.

- Fermi-level density of states (states/eV/cell) = 19.118
- energy of formation (meV/atom) = -3.0
- volume (Å³/cell) = 654.1

Cell: 6.907 12.922 7.329 Å, 90.00 90.00 90.00°
Space group Cmce (No. 64)
Symmetry-distinct sites (fractional):
La: 0.000 0.210 0.106 (multiplicity 8)
Dy: 0.250 0.028 0.750 (multiplicity 8)
Tc: 0.000 0.115 0.473 (multiplicity 8)

---

Record 8
Density functional theory data (PBE) for a geometry-optimized ZrBIr structure.

- Fermi-level density of states (states/eV/cell) = 2.571
- energy of formation (meV/atom) = -476.6
- volume (Å³/cell) = 44.2

Cell: 3.9140 3.9140 3.3279 Å, 90.00 90.00 120.00°
Space group P-6m2 (No. 187)
Symmetry-distinct sites (fractional):
Zr: 0.0000 0.0000 0.0000 (multiplicity 1)
B: 0.3333 0.6667 0.5000 (multiplicity 1)
Ir: 0.6667 0.3333 0.5000 (multiplicity 1)

---

Record 9
Density functional theory data (PBE) for a geometry-optimized TiNb2Hg2Se6 structure.

- Fermi-level density of states (states/eV/cell) = 10.521
- E_form (uncorrected) (kJ per mole of atoms) = -71.41
- volume (Å³/cell) = 592.4

Cell: 6.050 10.476 9.599 Å, 90.00 103.15 90.00°
Space group C2/m (No. 12)
Symmetry-distinct sites (fractional):
Ti: 0.000 0.000 0.000 (multiplicity 2)
Nb: 0.000 0.333 0.000 (multiplicity 4)
Hg: 0.000 0.171 0.500 (multiplicity 4)
Se: 0.227 0.164 0.176 (multiplicity 8)
Se: 0.236 0.500 0.176 (multiplicity 4)

---

Record 10
Density functional theory data (PBE) for a geometry-optimized PrGd2Ir structure.

- Fermi-level density of states (states/eV/cell) = 12.461
- energy of formation (meV/atom) = -339.9
- volume (Å³/cell) = 378.3

Cell: 3.9407 3.9407 28.1319 Å, 90.00 90.00 120.00°
Space group R-3m (No. 166, hexagonal axes)
Symmetry-distinct sites (fractional):
Pr: 0.0000 0.0000 0.0000 (multiplicity 3)
Gd: 0.0000 0.0000 0.2232 (multiplicity 6)
Ir: 0.0000 0.0000 0.5000 (multiplicity 3)

---

Record 11
Density functional theory data (PBE) for a geometry-optimized Pm2Pr2NdSm structure.

- Fermi-level density of states (states/eV/cell) = 22.025
- energy of formation (meV/atom) = 238.7
- volume (Å³/cell) = 428.9

Cell: 6.783 18.228 3.469 Å, 90.00 90.00 90.00°
Space group Pnnm (No. 58)
Symmetry-distinct sites (fractional):
Pm: 0.224 0.148 0.000 (multiplicity 4)
Pr: 0.229 0.317 0.500 (multiplicity 4)
Nd: 0.000 0.500 0.500 (multiplicity 2)
Sm: 0.000 0.000 0.500 (multiplicity 2)

---

Record 12
Density functional theory data (PBE) for a geometry-optimized AlInAu14 structure.

- Fermi-level density of states (states/eV/cell) = 9.566
- energy of formation (meV/atom) = -64.5
- volume (Å³/cell) = 582.7

Cell: 9.012 7.166 9.023 Å, 90.00 90.00 90.00°
Space group Amm2 (No. 38)
Symmetry-distinct sites (fractional):
Al: 0.000 0.000 0.000 (multiplicity 2)
In: 0.000 0.000 0.561 (multiplicity 2)
Au: 0.000 0.211 0.290 (multiplicity 4)
Au: 0.233 0.215 0.062 (multiplicity 8)
Au: 0.238 0.000 0.791 (multiplicity 4)
Au: 0.272 0.000 0.340 (multiplicity 4)
Au: 0.500 0.000 0.113 (multiplicity 2)
Au: 0.500 0.000 0.580 (multiplicity 2)
Au: 0.500 0.219 0.847 (multiplicity 4)

---

Record 13
Density functional theory data (PBE) for a geometry-optimized TaAs2Pd2 structure.

- Fermi-level density of states (states/eV/cell) = 5.356
- energy of formation (meV/atom) = -175.2
- volume (Å³/cell) = 166.3

Cell: 7.187 7.187 3.220 Å, 90.00 90.00 90.00°
Space group P4/mbm (No. 127)
Symmetry-distinct sites (fractional):
Ta: 0.000 0.000 0.000 (multiplicity 2)
As: 0.160 0.340 0.000 (multiplicity 4)
Pd: 0.143 0.643 0.500 (multiplicity 4)

---

Record 14
Density functional theory data (PBE) for a geometry-optimized Pr3Tl2Sn structure.

- Fermi-level density of states (states/eV/cell) = 14.776
- energy of formation (meV/atom) = -465.8
- volume (Å³/cell) = 726.9

Cell: 16.786 6.664 6.664 Å, 90.00 102.81 90.00°
Space group C2/c (No. 15)
Symmetry-distinct sites (fractional):
Pr: 0.000 0.141 0.250 (multiplicity 4)
Pr: 0.168 0.381 0.597 (multiplicity 8)
Tl: 0.165 0.119 0.056 (multiplicity 8)
Sn: 0.000 0.358 0.750 (multiplicity 4)

---

Record 15
Density functional theory data (PBE) for a geometry-optimized NbTe2I structure.

- Fermi-level density of states (states/eV/cell) = 9.106
- E_form (uncorrected) (kJ per mole of atoms) = -23.91
- volume (Å³/cell) = 256.7

Cell: 6.306 3.640 11.185 Å, 90.00 90.08 90.00°
Space group Cm (No. 8)
Symmetry-distinct sites (fractional):
Nb: 0.000 0.000 0.000 (multiplicity 2)
Te: 0.167 0.500 0.168 (multiplicity 2)
Te: 0.333 0.000 0.833 (multiplicity 2)
I: 0.166 0.500 0.538 (multiplicity 2)

---

Record 16
Density functional theory data (PBE) for a geometry-optimized CdHgOsW2 structure.

- Fermi-level density of states (states/eV/cell) = 9.778
- energy of formation (meV/atom) = 3105.9
- volume (Å³/cell) = 118.3

Cell: 4.949 4.949 4.829 Å, 90.00 90.00 90.00°
Space group P4/mmm (No. 123)
Symmetry-distinct sites (fractional):
Cd: 0.000 0.000 0.000 (multiplicity 1)
Hg: 0.000 0.000 0.500 (multiplicity 1)
Os: 0.500 0.500 0.000 (multiplicity 1)
W: 0.000 0.500 0.500 (multiplicity 2)

---

Record 17
Density functional theory data (PBE) for a geometry-optimized DyErZrCd structure.

- Fermi-level density of states (states/eV/cell) = 22.107
- energy of formation (meV/atom) = 47.4
- volume (Å³/cell) = 419.7

Cell: 7.487 7.487 7.487 Å, 90.00 90.00 90.00°
Space group F-43m (No. 216)
Symmetry-distinct sites (fractional):
Dy: 0.000 0.000 0.000 (multiplicity 4)
Er: 0.000 0.000 0.500 (multiplicity 4)
Zr: 0.250 0.250 0.750 (multiplicity 4)
Cd: 0.250 0.250 0.250 (multiplicity 4)

---

Record 18
Density functional theory data (PBE) for a geometry-optimized Ir2C structure.

- Fermi-level density of states (states/eV/cell) = 8.003
- energy of formation (meV/atom) = 586.1
- volume (Å³/cell) = 148.3

Cell: 2.765 10.316 5.201 Å, 90.00 90.00 90.00°
Space group Cmc2_1 (No. 36)
Symmetry-distinct sites (fractional):
Ir: 0.000 0.056 0.000 (multiplicity 4)
Ir: 0.000 0.325 0.061 (multiplicity 4)
C: 0.000 0.324 0.680 (multiplicity 4)

---

Record 19
Density functional theory data (PBE) for a geometry-optimized SnSb2As2 structure.

- Fermi-level density of states (states/eV/cell) = 3.943
- E_form (uncorrected) (kJ per mole of atoms) = 29.20
- volume (Å³/cell) = 268.8

Cell: 4.290 4.290 14.602 Å, 90.00 90.00 90.00°
Space group I4/mmm (No. 139)
Symmetry-distinct sites (fractional):
Sn: 0.000 0.000 0.000 (multiplicity 2)
Sb: 0.000 0.500 0.250 (multiplicity 4)
As: 0.000 0.000 0.415 (multiplicity 4)

---

Record 20
Density functional theory data (PBE) for a geometry-optimized SrNiCl structure.

- Fermi-level density of states (states/eV/cell) = 14.615
- E_form (uncorrected) (kJ per mole of atoms) = -39.88
- volume (Å³/cell) = 165.7

Cell: 3.606 3.606 12.745 Å, 90.00 90.00 90.00°
Space group I4mm (No. 107)
Symmetry-distinct sites (fractional):
Sr: 0.000 0.000 0.000 (multiplicity 2)
Ni: 0.000 0.000 0.654 (multiplicity 2)
Cl: 0.000 0.000 0.378 (multiplicity 2)

---

Record 21
Density functional theory data (PBE) for a geometry-optimized Cd2TePb structure.

- Fermi-level density of states (states/eV/cell) = 10.044
- E_form (uncorrected) (kJ per mole of atoms) = 6.45
- volume (Å³/cell) = 463.1

Cell: 7.737 7.737 7.737 Å, 90.00 90.00 90.00°
Space group F-43m (No. 216)
Symmetry-distinct sites (fractional):
Cd: 0.000 0.000 0.000 (multiplicity 4)
Cd: 0.250 0.250 0.250 (multiplicity 4)
Te: 0.250 0.250 0.750 (multiplicity 4)
Pb: 0.000 0.000 0.500 (multiplicity 4)

---

Record 22
Density functional theory data (PBE) for a geometry-optimized TmLuSe structure.

- Fermi-level density of states (states/eV/cell) = 4.748
- E_form (uncorrected) (kJ per mole of atoms) = -90.27
- volume (Å³/cell) = 149.2

Cell: 3.542 3.542 11.886 Å, 90.00 90.00 90.00°
Space group I4mm (No. 107)
Symmetry-distinct sites (fractional):
Tm: 0.000 0.000 0.000 (multiplicity 2)
Lu: 0.000 0.000 0.703 (multiplicity 2)
Se: 0.000 0.000 0.350 (multiplicity 2)

---

Record 23
Density functional theory data (PBE) for a geometry-optimized Dy2CuO4 structure.

- Fermi-level density of states (states/eV/cell) = 1.888
- E_form (uncorrected) (kJ per mole of atoms) = -259.94
- volume (Å³/cell) = 175.8

Cell: 3.873 3.873 11.724 Å, 90.00 90.00 90.00°
Space group I4/mmm (No. 139)
Symmetry-distinct sites (fractional):
Dy: 0.000 0.000 0.152 (multiplicity 4)
Cu: 0.000 0.000 0.500 (multiplicity 2)
O: 0.000 0.500 0.000 (multiplicity 4)
O: 0.000 0.500 0.250 (multiplicity 4)

---

Record 24
Density functional theory data (PBE) for a geometry-optimized LiH6Pd3Rh2 structure.

- Fermi-level density of states (states/eV/cell) = 11.053
- final energy (eV/atom) = -4.508
- volume (Å³/cell) = 204.6

Cell: 12.830 2.875 5.705 Å, 90.00 103.53 90.00°
Space group C2/m (No. 12)
Symmetry-distinct sites (fractional):
Li: 0.000 0.000 0.000 (multiplicity 2)
H: 0.024 0.500 0.284 (multiplicity 4)
H: 0.165 0.000 0.543 (multiplicity 4)
H: 0.166 0.000 0.119 (multiplicity 4)
Pd: 0.000 0.000 0.500 (multiplicity 2)
Pd: 0.164 0.500 0.836 (multiplicity 4)
Rh: 0.162 0.500 0.329 (multiplicity 4)

---

Record 25
Density functional theory data (PBE) for a geometry-optimized Ba2CoCuN structure.

- Fermi-level density of states (states/eV/cell) = 3.606
- E_form (uncorrected) (kJ per mole of atoms) = -21.28
- volume (Å³/cell) = 117.8

Cell: 5.749 5.749 3.563 Å, 90.00 90.00 90.00°
Space group P4/mmm (No. 123)
Symmetry-distinct sites (fractional):
Ba: 0.000 0.500 0.000 (multiplicity 2)
Co: 0.000 0.000 0.500 (multiplicity 1)
Cu: 0.500 0.500 0.500 (multiplicity 1)
N: 0.000 0.000 0.000 (multiplicity 1)